[1]
DFT (PBE) results for crystalline Rb28Mg9In51 at its relaxed geometry.

POSCAR file:
```
Rb28Mg9In51
1.0
10.2040 0.0000 0.0000
0.0000 35.9606 0.0000
-5.0380 0.0000 8.9288
Rb Mg In
28 9 51
direct
0.0000 0.0903 0.0000 Rb
0.0000 0.9097 0.0000 Rb
0.2464 0.1565 0.3893 Rb
0.2464 0.8435 0.3893 Rb
0.2474 0.3436 0.3899 Rb
0.2474 0.6564 0.3899 Rb
0.2476 0.0915 0.7440 Rb
0.2476 0.9085 0.7440 Rb
0.2508 0.4085 0.7445 Rb
0.2508 0.5915 0.7445 Rb
0.4978 0.0907 0.2498 Rb
0.4978 0.9093 0.2498 Rb
0.5033 0.4083 0.2487 Rb
0.5033 0.5917 0.2487 Rb
0.5819 0.2500 0.6626 Rb
0.5819 0.7500 0.6626 Rb
0.6415 0.3439 0.9953 Rb
0.6415 0.6561 0.9953 Rb
0.6423 0.1562 0.9967 Rb
0.6423 0.8438 0.9967 Rb
0.8521 0.1567 0.6024 Rb
0.8521 0.8433 0.6024 Rb
0.8535 0.3433 0.6015 Rb
0.8535 0.6567 0.6015 Rb
0.9150 0.2500 0.3304 Rb
0.9150 0.7500 0.3304 Rb
0.9981 0.4088 0.9960 Rb
0.9981 0.5912 0.9960 Rb
0.0678 0.0000 0.5121 Mg
0.0687 0.5000 0.5229 Mg
0.4209 0.5000 0.9971 Mg
0.4247 0.0000 0.6933 Mg
0.5419 0.5000 0.4686 Mg
0.7168 0.0000 0.2918 Mg
0.7671 0.5000 0.8189 Mg
0.7770 0.0000 0.8222 Mg
0.9447 0.5000 0.1712 Mg
0.0373 0.2500 0.7862 In
0.0373 0.7500 0.7862 In
0.0785 0.0000 0.8240 In
0.0797 0.5000 0.8271 In
0.2430 0.4503 0.4001 In
0.2430 0.5497 0.4001 In
0.2463 0.2499 0.2069 In
0.2463 0.7501 0.2069 In
0.2480 0.1793 0.9962 In
0.2479 0.3205 0.9962 In
0.2479 0.6795 0.9962 In
0.2480 0.8207 0.9962 In
0.2494 0.2940 0.7157 In
0.2494 0.7060 0.7157 In
0.2500 0.0000 0.1739 In
0.2496 0.0510 0.4091 In
0.2496 0.2061 0.7160 In
0.2495 0.5000 0.1651 In
0.2496 0.7939 0.7160 In
0.2496 0.9490 0.4091 In
0.4153 0.0000 0.9937 In
0.4208 0.5000 0.6939 In
0.4604 0.2500 0.9952 In
0.4604 0.7500 0.9952 In
0.5279 0.2060 0.2752 In
0.5279 0.2938 0.2755 In
0.5279 0.7062 0.2755 In
0.5279 0.7940 0.2752 In
0.5586 0.0000 0.4830 In
0.5813 0.4238 0.6616 In
0.5813 0.5762 0.6616 In
0.5859 0.0765 0.6652 In
0.5859 0.9235 0.6652 In
0.6488 0.0502 0.9885 In
0.6488 0.9498 0.9885 In
0.6553 0.4491 0.9967 In
0.6553 0.5509 0.9967 In
0.7244 0.5000 0.2985 In
0.8389 0.4503 0.5923 In
0.8389 0.5497 0.5923 In
0.8469 0.0503 0.5866 In
0.8469 0.9497 0.5866 In
0.9104 0.0765 0.3257 In
0.9104 0.9235 0.3257 In
0.9165 0.4238 0.3306 In
0.9165 0.5762 0.3306 In
0.9384 0.0000 0.1703 In
0.9662 0.2058 0.9969 In
0.9661 0.2939 0.9971 In
0.9661 0.7061 0.9971 In
0.9662 0.7942 0.9969 In
```

Calculated values
Symmetry: Pm, No. 6
E_form (kJ/mol of atoms): -14.1



[2]
DFT (PBE) results for crystalline RbMg2In10 at its relaxed geometry.

POSCAR file:
```
RbMg2In10
1.0
0.0000 7.4750 7.7255
3.1623 0.0000 7.7255
3.1623 7.4750 0.0000
Rb Mg In
1 2 10
direct
0.0000 0.0000 0.0000 Rb
0.0000 0.5000 0.0000 Mg
0.5000 0.0000 0.5000 Mg
0.0000 0.0000 0.5000 In
0.0057 0.3556 0.6444 In
0.2797 0.4965 0.5035 In
0.3556 0.0057 0.9943 In
0.4965 0.2797 0.7203 In
0.5000 0.5000 0.0000 In
0.5035 0.7203 0.2797 In
0.6444 0.9943 0.0057 In
0.7203 0.5035 0.4965 In
0.9943 0.6444 0.3556 In
```

Calculated values
Symmetry: Fmmm, No. 69
E_form (kJ/mol of atoms): -3.6



| no. | DFT total energy (eV/atom) |
| --- | --- |
| 1 | -2.204 |
| 2 | -2.464 |